{"formula": "SnGe2I6", "functional": "PBE", "state": "optimized geometry", "lattice_angstrom": [[0.408, -0.810, -4.279], [3.092, -8.477, 1.899], [-10.053, -0.291, 1.332]], "species": ["Ge", "Ge", "I", "I", "I", "I", "I", "I", "Sn"], "frac_coords": [[0.169, 0.338, 0.338], [0.831, 0.662, 0.662], [0.008, 0.257, 0.015], [0.327, 0.430, 0.655], [0.992, 0.743, 0.985], [0.331, 0.893, 0.661], [0.669, 0.107, 0.339], [0.673, 0.570, 0.345], [0.500, 0.000, 0.000]], "e_form_raw_mev_per_atom": -383, "polymorph_energy_ev_per_fu": 0.00, "energy_ev_per_cell": -26.0}

=====

{"formula": "Sn2GeI", "functional": "PBE", "state": "optimized geometry", "lattice_angstrom": [[0.000, 3.809, 3.809], [3.809, 0.000, 3.809], [3.809, 3.809, 0.000]], "species": ["Sn", "Sn", "I", "Ge"], "frac_coords": [[0.250, 0.250, 0.250], [0.750, 0.750, 0.750], [0.500, 0.500, 0.500], [0.000, 0.000, 0.000]], "e_form_raw_mev_per_atom": 274, "polymorph_energy_ev_per_fu": 0.22, "energy_ev_per_cell": -13.1}

=====

{"formula": "SnGe2I6", "functional": "PBE", "state": "optimized geometry", "lattice_angstrom": [[-7.426, -1.631, 0.997], [0.558, -9.166, -4.209], [1.402, -5.216, 8.537]], "species": ["I", "I", "I", "I", "I", "I", "I", "I", "I", "I", "I", "I", "Ge", "Ge", "Ge", "Ge", "Sn", "Sn"], "frac_coords": [[0.382, 0.046, 0.200], [0.122, 0.119, 0.613], [0.378, 0.387, 0.881], [0.834, 0.571, 0.710], [0.666, 0.290, 0.429], [0.334, 0.710, 0.571], [0.622, 0.613, 0.119], [0.166, 0.429, 0.290], [0.118, 0.800, 0.954], [0.618, 0.954, 0.800], [0.878, 0.881, 0.387], [0.882, 0.200, 0.046], [0.511, 0.659, 0.828], [0.489, 0.341, 0.172], [0.989, 0.172, 0.341], [0.011, 0.828, 0.659], [0.750, 0.907, 0.093], [0.250, 0.093, 0.907]], "e_form_raw_mev_per_atom": -351, "polymorph_energy_ev_per_fu": 0.28, "energy_ev_per_cell": -51.4}

=====

{"formula": "Sn2Ge2I", "functional": "PBE", "state": "optimized geometry", "lattice_angstrom": [[-6.054, 3.708, 4.966], [-4.688, -7.281, -0.278], [1.699, -1.207, 2.973]], "species": ["Ge", "Ge", "Ge", "Ge", "I", "I", "Sn", "Sn", "Sn", "Sn"], "frac_coords": [[0.622, 0.878, 0.500], [0.378, 0.122, 0.500], [0.122, 0.622, 0.500], [0.878, 0.378, 0.500], [0.000, 0.000, 0.000], [0.500, 0.500, 0.000], [0.660, 0.160, 0.000], [0.160, 0.340, 0.000], [0.840, 0.660, 0.000], [0.340, 0.840, 0.000]], "e_form_raw_mev_per_atom": 223, "polymorph_energy_ev_per_fu": 0.36, "energy_ev_per_cell": -35.3}

=====

{"formula": "Sn3GeI8", "functional": "PBE", "state": "optimized geometry", "lattice_angstrom": [[9.015, 0.000, 0.000], [-4.507, 6.408, -4.458], [0.000, 0.057, 9.296]], "species": ["Sn", "Sn", "Sn", "I", "I", "I", "I", "I", "I", "I", "I", "Ge"], "frac_coords": [[0.000, 0.500, 0.000], [0.500, 0.000, 0.000], [0.500, 0.500, 0.000], [0.762, 0.999, 0.235], [0.762, 0.525, 0.765], [0.762, 0.001, 0.765], [0.238, 0.999, 0.235], [0.251, 0.501, 0.755], [0.749, 0.499, 0.245], [0.238, 0.001, 0.765], [0.238, 0.475, 0.235], [0.000, 0.000, 0.000]], "e_form_raw_mev_per_atom": -460, "energy_ev_per_cell": -34.5}

=====

{"formula": "SrGeI3", "functional": "PBE", "state": "optimized geometry", "lattice_angstrom": [[5.859, 0.000, 0.000], [0.000, 5.859, 0.000], [0.000, 0.000, 5.859]], "species": ["I", "I", "I", "Sr", "Ge"], "frac_coords": [[0.500, 0.000, 0.000], [0.000, 0.000, 0.500], [0.000, 0.500, 0.000], [0.500, 0.500, 0.500], [0.000, 0.000, 0.000]], "e_form_raw_mev_per_atom": -554, "polymorph_energy_ev_per_fu": 0.00, "energy_ev_per_cell": -13.7}

=====

{"formula": "SrGe2I8", "functional": "PBE", "state": "optimized geometry", "lattice_angstrom": [[7.288, 0.545, 0.414], [0.742, 9.298, -0.322], [0.742, 2.194, 9.041]], "species": ["Ge", "Ge", "I", "I", "I", "I", "I", "I", "I", "I", "Sr"], "frac_coords": [[0.308, 0.216, 0.216], [0.692, 0.784, 0.784], [0.686, 0.202, 0.202], [0.314, 0.798, 0.798], [0.233, 0.931, 0.290], [0.233, 0.290, 0.931], [0.767, 0.710, 0.069], [0.767, 0.069, 0.710], [0.886, 0.599, 0.599], [0.114, 0.401, 0.401], [0.000, 0.000, 0.000]], "e_form_raw_mev_per_atom": -605, "energy_ev_per_cell": -30.0}

=====

{"formula": "Sr4Ge2I5", "functional": "PBE", "state": "optimized geometry", "lattice_angstrom": [[4.660, 0.000, 0.000], [0.000, 9.016, 0.470], [-2.330, -2.079, 12.347]], "species": ["I", "I", "I", "I", "I", "Sr", "Sr", "Sr", "Sr", "Ge", "Ge"], "frac_coords": [[0.151, 0.823, 0.303], [0.849, 0.177, 0.697], [0.500, 0.000, 0.000], [0.805, 0.671, 0.610], [0.195, 0.329, 0.390], [0.020, 0.729, 0.040], [0.328, 0.426, 0.655], [0.980, 0.271, 0.960], [0.672, 0.574, 0.345], [0.455, 0.516, 0.909], [0.545, 0.484, 0.091]], "e_form_raw_mev_per_atom": -1231, "energy_ev_per_cell": -37.3}